Below is an optimized crystal structure of LaSbRh3, with properties calculated at the GGA-PBE level.

The structure in POSCAR format:
```
LaSbRh3
1.0
4.920 0.000 0.000
0.000 4.920 0.000
0.000 0.000 4.920
Sb Rh La
1 3 1
Cartesian
2.460 2.460 2.460
0.000 2.460 0.000
0.000 0.000 2.460
2.460 0.000 0.000
0.000 0.000 0.000
```

Output
Its total magnetic moment is 0.0 μB/f.u. Its uncorrected formation energy is 4.1 eV/f.u. Its polymorph energy (0 for the lowest one) is 138.5 kJ/mol of atoms. The total DFT energy (no corrections) comes out at -5.39 eV/atom. As for the space-group type: Pm-3m, No. 221.


Below is an optimized crystal structure of ZrSeS, with properties calculated at the GGA-PBE level.

The structure in POSCAR format:
```
ZrSeS
1.0
-2.833 -0.437 -2.699
-1.035 -6.395 2.121
-6.697 3.242 6.506
Zr Se S
4 4 4
Cartesian
-4.233 -5.343 1.000
-3.243 -1.470 2.207
-6.333 1.753 4.928
-7.322 -2.120 3.722
-8.477 0.114 4.573
-5.710 -3.770 5.168
-2.088 -3.703 1.355
-4.855 0.181 0.760
-5.365 -3.023 1.813
-1.579 -0.503 0.304
-5.201 -0.566 4.115
-8.986 -3.086 5.625
```

Output
Its total magnetic moment is 0.0 μB/f.u. Its uncorrected formation energy is -4.1 eV/f.u. Its polymorph energy (0 for the lowest one) is 7.4 kJ/mol of atoms. The total DFT energy (no corrections) comes out at -6.74 eV/atom. As for the space-group type: Pnma, No. 62.


Below is an optimized crystal structure of Na3BrF2, with properties calculated at the GGA-PBE level.

The structure in POSCAR format:
```
Na3BrF2
1.0
6.609 0.000 0.000
0.000 5.598 2.301
0.000 0.805 5.999
Na Br F
6 2 4
Cartesian
4.957 0.811 5.995
4.957 0.410 2.998
1.652 2.796 1.158
4.957 3.607 7.142
1.652 5.993 5.302
1.652 5.593 2.305
1.652 3.188 4.160
4.957 3.215 4.140
0.000 1.067 1.383
3.304 1.067 1.383
0.000 5.336 6.917
3.304 5.336 6.917
```

Output
Its total magnetic moment is 0.0 μB/f.u. Its uncorrected formation energy is -13.2 eV/f.u. Its polymorph energy (0 for the lowest one) is 11.5 kJ/mol of atoms. The total DFT energy (no corrections) comes out at -3.76 eV/atom. As for the space-group type: Cmcm, No. 63.


Below is an optimized crystal structure of KAuCl2, with properties calculated at the GGA-PBE level.

The structure in POSCAR format:
```
KAuCl2
1.0
-1.892 -3.683 3.137
0.402 -5.005 -1.333
3.244 -3.125 2.588
K Au Cl
1 1 2
Cartesian
1.315 -8.860 3.294
0.877 -5.907 2.196
0.000 0.000 0.000
0.438 -2.953 1.098
```

Output
Its total magnetic moment is 0.0 μB/f.u. Its uncorrected formation energy is -1.4 eV/f.u. Its polymorph energy (0 for the lowest one) is 74.3 kJ/mol of atoms. The total DFT energy (no corrections) comes out at -2.36 eV/atom. As for the space-group type: F-43m, No. 216.